CdPtCN2: relaxed, PBE.

The structure in extended XYZ format:
```
5
Lattice="4.132 0.000 0.000 0.000 4.132 0.000 0.000 0.000 4.190" Properties=species:S:1:pos:R:3 pbc="T T T"
Cd 0.000 0.000 0.000
Pt 2.066 2.066 2.095
C 0.000 0.000 2.095
N 0.000 2.066 0.000
N 2.066 0.000 0.000
```

Output
Raw total energy (eV/cell): -17.4
Density of states at the Fermi level (states/eV/cell): 4.00



CdPtC6N6: relaxed, PBE.

The structure in extended XYZ format:
```
14
Lattice="0.000 5.526 5.526 5.526 0.000 5.526 5.526 5.526 0.000" Properties=species:S:1:pos:R:3 pbc="T T T"
Cd 0.000 0.000 0.000
Pt 5.526 5.526 5.526
C 5.526 5.526 3.504
C 5.526 3.504 5.526
C 7.548 5.526 5.526
C 3.504 5.526 5.526
C 5.526 7.548 5.526
C 5.526 5.526 7.548
N 5.526 5.526 2.341
N 5.526 2.341 5.526
N 8.711 5.526 5.526
N 2.341 5.526 5.526
N 5.526 8.711 5.526
N 5.526 5.526 8.711
```

Output
Raw total energy (eV/cell): -107.5
Density of states at the Fermi level (states/eV/cell): 0.00



RbCdC3S3N3: relaxed, PBE.

The structure in extended XYZ format:
```
44
Lattice="5.826 0.000 0.000 0.000 13.790 0.000 -5.157 0.000 12.933" Properties=species:S:1:pos:R:3 pbc="T T T"
Rb -0.472 2.894 2.763
Rb -3.051 4.001 9.229
Rb 3.720 9.789 3.703
Rb 1.142 10.896 10.170
Cd 0.000 0.000 0.000
Cd -2.578 6.895 6.466
Cd 0.335 0.000 6.466
Cd 2.913 6.895 0.000
C -0.072 8.234 1.129
C -2.651 12.451 7.596
C -1.835 7.665 9.618
C 0.743 13.020 3.152
C 0.299 8.645 6.352
C -2.279 12.040 12.818
C 2.948 1.750 0.115
C 0.370 5.145 6.581
C -0.074 0.770 9.781
C 2.505 6.125 3.315
C 3.320 1.339 5.337
C 0.742 5.556 11.804
S -3.652 2.319 12.537
S -1.074 4.576 6.071
S 1.383 8.959 0.999
S -1.196 11.726 7.465
S -1.614 8.691 10.872
S 0.964 11.994 4.405
S -0.295 1.796 8.528
S 2.283 5.099 2.061
S 1.865 2.064 5.468
S -0.714 4.831 11.934
S 1.743 9.214 6.862
S 4.322 11.471 0.396
N -1.427 0.858 5.226
N -4.006 6.037 11.693
N -2.001 6.914 8.717
N 0.578 13.771 2.251
N -0.755 8.271 5.960
N -3.333 12.414 12.427
N 4.002 1.376 0.506
N 1.424 5.519 6.972
N 0.091 0.019 10.682
N 2.670 6.876 4.215
N 4.675 7.753 1.240
N 2.097 12.932 7.707
```

Output
Raw total energy (eV/cell): -272.3
Density of states at the Fermi level (states/eV/cell): 0.00



Cd2RuC6N6: relaxed, PBE.

The structure in extended XYZ format:
```
15
Lattice="6.444 0.000 0.000 -3.222 5.580 0.000 0.000 0.000 6.661" Properties=species:S:1:pos:R:3 pbc="T T T"
Cd 0.000 3.720 0.000
Cd 3.222 1.860 0.000
Ru 0.000 0.000 3.330
C -0.794 1.375 4.560
C -2.428 4.205 2.101
C 1.588 0.000 4.560
C 0.794 1.375 2.101
C 4.856 0.000 2.101
C 2.428 4.205 4.560
N -1.228 2.126 5.367
N -1.994 3.454 1.294
N 2.455 0.000 5.367
N 1.228 2.126 1.294
N 3.989 0.000 1.294
N 1.994 3.454 5.367
```

Output
Raw total energy (eV/cell): -113.4
Density of states at the Fermi level (states/eV/cell): 0.00



CdCS2N: relaxed, PBE.

The structure in extended XYZ format:
```
5
Lattice="5.832 0.000 0.000 0.000 5.832 0.000 0.000 0.000 2.475" Properties=species:S:1:pos:R:3 pbc="T T T"
Cd 0.000 0.000 0.000
C 2.916 2.916 1.238
S 0.000 2.916 1.238
S 2.916 0.000 1.238
N 2.916 2.916 0.000
```

Output
Energy above the lowest structure with this stoichiometry (meV/atom): 0
Raw total energy (eV/cell): -23.4
Density of states at the Fermi level (states/eV/cell): 1.49



CdCS2N: relaxed, PBE.

The structure in extended XYZ format:
```
5
Lattice="5.090 0.000 0.000 0.000 5.090 0.000 0.000 0.000 4.234" Properties=species:S:1:pos:R:3 pbc="T T T"
Cd 0.000 0.000 0.000
C 2.545 2.545 2.117
S 0.000 2.545 0.000
S 2.545 0.000 0.000
N 0.000 0.000 2.117
```

Output
Energy above the lowest structure with this stoichiometry (meV/atom): 1929
Raw total energy (eV/cell): -13.7
Density of states at the Fermi level (states/eV/cell): 3.21



Computed uncorrected formation energy, in the same sequence as the records: 3079; 340; -106; 202; 667; 2596 meV per atom.